# 1
A relaxed Zn2CuPbAu4 crystal. Source: the Alexandria database, functional PBE.

DFT total energy, eV per atom: -3.027
V, A^3/atom: 18.93

Lattice parameters (Å, degrees): 9.270 9.270 9.270 27.65 27.65 27.65
Element x y z (fractional)
1 Zn 0.235 0.235 0.235
2 Zn 0.765 0.765 0.765
3 Cu 0.500 0.500 0.500
4 Pb 0.000 0.000 0.000
5 Au 0.131 0.131 0.131
6 Au 0.399 0.399 0.399
7 Au 0.601 0.601 0.601
8 Au 0.869 0.869 0.869

=====

# 2
A relaxed YNb3Cu crystal. Source: the Alexandria database, functional PBE.

Energy above the most stable polymorph in this dataset, meV/atom: 1346
V, A^3/atom: 23.79

Lattice parameters (Å, degrees): 4.918 4.918 4.918 90.00 90.00 90.00
Element x y z (fractional)
1 Y 0.000 0.000 0.000
2 Nb 0.000 0.000 0.500
3 Nb 0.000 0.500 0.000
4 Nb 0.500 0.000 0.000
5 Cu 0.500 0.500 0.500

=====

# 3
A relaxed CsScTi crystal. Source: the Alexandria database, functional PBE.

Energy above the most stable polymorph in this dataset, meV/atom: 544
V, A^3/atom: 40.03

Lattice parameters (Å, degrees): 4.521 7.023 15.129 90.00 90.00 90.00
Element x y z (fractional)
1 Cs 0.002 0.250 0.137
2 Cs 0.498 0.750 0.637
3 Cs 0.502 0.250 0.363
4 Cs 0.998 0.750 0.863
5 Sc 0.027 0.750 0.403
6 Sc 0.473 0.250 0.903
7 Sc 0.527 0.750 0.097
8 Sc 0.973 0.250 0.597
9 Ti 0.028 0.750 0.220
10 Ti 0.472 0.250 0.720
11 Ti 0.528 0.750 0.280
12 Ti 0.972 0.250 0.780

=====

# 4
A relaxed TbCeB12 crystal. Source: the Alexandria database, functional PBE.

DFT total energy, eV per atom: -6.943
V, A^3/atom: 9.91

Lattice parameters (Å, degrees): 4.109 4.109 8.220 90.00 90.00 90.00
Element x y z (fractional)
1 Tb 0.000 0.000 0.000
2 Ce 0.000 0.000 0.500
3 B 0.199 0.500 0.249
4 B 0.199 0.500 0.751
5 B 0.500 0.199 0.249
6 B 0.500 0.199 0.751
7 B 0.500 0.500 0.099
8 B 0.500 0.500 0.400
9 B 0.500 0.500 0.600
10 B 0.500 0.500 0.901
11 B 0.500 0.801 0.249
12 B 0.500 0.801 0.751
13 B 0.801 0.500 0.249
14 B 0.801 0.500 0.751

=====

# 5
A relaxed RbBeTeBr crystal. Source: the Alexandria database, functional PBE.

Energy above the most stable polymorph in this dataset, meV/atom: 14
V, A^3/atom: 38.85
Uncorrected formation energy, eV per formula unit: -3.53

Lattice parameters (Å, degrees): 13.792 4.065 5.682 90.00 102.64 90.00
Element x y z (fractional)
1 Rb 0.000 0.000 0.000
2 Rb 0.500 0.500 0.000
3 Be 0.195 0.500 0.735
4 Be 0.695 0.000 0.735
5 Te 0.269 0.000 0.897
6 Te 0.769 0.500 0.897
7 Br 0.047 0.500 0.520
8 Br 0.547 0.000 0.520

=====

# 6
A relaxed SrTl3Re2O9 crystal. Source: the Alexandria database, functional PBE.

V, A^3/atom: 15.38
Uncorrected formation energy, eV per formula unit: -22.59

Lattice parameters (Å, degrees): 5.907 5.907 7.634 90.00 90.00 120.00
Element x y z (fractional)
1 Sr 0.000 0.000 0.000
2 Tl 0.000 0.000 0.500
3 Tl 0.333 0.667 0.194
4 Tl 0.667 0.333 0.806
5 Re 0.333 0.667 0.655
6 Re 0.667 0.333 0.345
7 O 0.000 0.500 0.500
8 O 0.183 0.366 0.786
9 O 0.183 0.817 0.786
10 O 0.366 0.183 0.214
11 O 0.500 0.000 0.500
12 O 0.500 0.500 0.500
13 O 0.634 0.817 0.786
14 O 0.817 0.183 0.214
15 O 0.817 0.634 0.214

=====

# 7
A relaxed Pm7ZnSn5 crystal. Source: the Alexandria database, functional PBE.

DFT total energy, eV per atom: -4.626
V, A^3/atom: 30.16

Lattice parameters (Å, degrees): 8.450 8.450 8.450 135.27 95.79 100.87
Element x y z (fractional)
1 Pm 0.000 0.000 0.000
2 Pm 0.306 0.638 0.668
3 Pm 0.387 0.387 0.000
4 Pm 0.456 0.122 0.335
5 Pm 0.787 0.122 0.665
6 Pm 0.861 0.361 0.500
7 Pm 0.970 0.638 0.332
8 Zn 0.685 0.685 0.000
9 Sn 0.126 0.134 0.492
10 Sn 0.126 0.634 0.992
11 Sn 0.378 0.878 0.500
12 Sn 0.642 0.134 0.008
13 Sn 0.642 0.634 0.508

=====

# 8
A relaxed Y2SnBi crystal. Source: the Alexandria database, functional PBE.

Energy above the most stable polymorph in this dataset, meV/atom: 191
V, A^3/atom: 31.44

Lattice parameters (Å, degrees): 4.251 4.251 24.109 90.00 90.00 120.00
Element x y z (fractional)
1 Y 0.000 0.000 0.000
2 Y 0.000 0.000 0.171
3 Y 0.333 0.667 0.667
4 Y 0.333 0.667 0.838
5 Y 0.667 0.333 0.333
6 Y 0.667 0.333 0.505
7 Sn 0.000 0.000 0.754
8 Sn 0.333 0.667 0.420
9 Sn 0.667 0.333 0.087
10 Bi 0.000 0.000 0.584
11 Bi 0.333 0.667 0.251
12 Bi 0.667 0.333 0.918

=====

# 9
A relaxed Ca2ZnReI crystal. Source: the Alexandria database, functional PBE.

V, A^3/atom: 32.74
Uncorrected formation energy, eV per formula unit: 4.75

Lattice parameters (Å, degrees): 5.822 5.822 4.829 90.00 90.00 90.00
Element x y z (fractional)
1 Ca 0.000 0.500 0.000
2 Ca 0.500 0.000 0.000
3 Zn 0.000 0.000 0.500
4 Re 0.500 0.500 0.500
5 I 0.500 0.500 0.000

=====

# 10
A relaxed VFeCu2Se crystal. Source: the Alexandria database, functional PBE.

V, A^3/atom: 16.54
Uncorrected formation energy, eV per formula unit: 5.48

Lattice parameters (Å, degrees): 4.409 4.409 4.254 90.00 90.00 90.00
Element x y z (fractional)
1 V 0.000 0.000 0.000
2 Fe 0.500 0.500 0.000
3 Cu 0.000 0.500 0.500
4 Cu 0.500 0.000 0.500
5 Se 0.500 0.500 0.500

=====

# 11
A relaxed NdGa6Rh2 crystal. Source: the Alexandria database, functional PBE.

DFT total energy, eV per atom: -4.378
V, A^3/atom: 22.05

Lattice parameters (Å, degrees): 5.061 5.061 8.947 90.00 90.00 120.00
Element x y z (fractional)
1 Nd 0.000 0.000 0.000
2 Ga 0.000 0.333 0.711
3 Ga 0.000 0.667 0.289
4 Ga 0.333 0.000 0.711
5 Ga 0.333 0.333 0.289
6 Ga 0.667 0.000 0.289
7 Ga 0.667 0.667 0.711
8 Rh 0.333 0.667 0.500
9 Rh 0.667 0.333 0.500

=====

# 12
A relaxed Li4Hg3Pb crystal. Source: the Alexandria database, functional PBE.

DFT total energy, eV per atom: -1.878
V, A^3/atom: 19.41

Lattice parameters (Å, degrees): 3.429 3.429 13.204 90.00 90.00 90.00
Element x y z (fractional)
1 Li 0.000 0.000 0.120
2 Li 0.000 0.000 0.360
3 Li 0.000 0.000 0.640
4 Li 0.000 0.000 0.880
5 Hg 0.500 0.500 0.000
6 Hg 0.500 0.500 0.240
7 Hg 0.500 0.500 0.760
8 Pb 0.500 0.500 0.500